Entry 1:
First-principles (GGA-PBE) data for a relaxed structure of MgCoWAu, as listed in the Open Quantum Materials Database.

POSCAR file:
```
MgCoWAu
1.0
0.0000 3.1390 3.1390
3.1390 0.0000 3.1390
3.1390 3.1390 0.0000
Au Mg W Co
1 1 1 1
Direct
0.7500 0.7500 0.7500
0.5000 0.5000 0.5000
0.0000 0.0000 0.0000
0.2500 0.2500 0.2500
```

Properties
Electronic total energy: -23.63 eV for the cell shown
Crystal system: cubic

Entry 2:
First-principles (GGA-PBE) data for a relaxed structure of PuCdOs, as listed in the Open Quantum Materials Database.

POSCAR file:
```
PuCdOs
1.0
0.0000 3.2253 3.2253
3.2253 0.0000 3.2253
3.2253 3.2253 0.0000
Pu Os Cd
1 1 1
Direct
0.7500 0.7500 0.7500
0.0000 0.0000 0.0000
0.2500 0.2500 0.2500
```

Properties
Electronic total energy: -25.17 eV for the cell shown
Crystal system: cubic
ΔH_f (0 K): 358 meV/atom

Entry 3:
First-principles (GGA-PBE) data for a relaxed structure of AlAgOs, as listed in the Open Quantum Materials Database.

POSCAR file:
```
AlAgOs
1.0
2.0526 -1.6485 3.2239
1.1198 2.4078 3.2051
-1.8976 -0.4193 3.6806
Al Os Ag
1 1 1
Direct
0.0000 0.0000 0.0000
0.7500 0.7500 0.7500
0.2500 0.2500 0.2500
```

Properties
Electronic total energy: -16.32 eV for the cell shown
Crystal system: cubic

Entry 4:
First-principles (GGA-PBE) data for a relaxed structure of Li2AlAg2SnAu2, as listed in the Open Quantum Materials Database.

POSCAR file:
```
Li2AlAg2SnAu2
1.0
-3.5465 -2.7847 -0.4385
0.9920 -1.8924 3.9949
-3.8662 4.4414 3.0639
Li Ag Sn Al Au
2 2 1 1 2
Direct
0.0000 0.0000 0.5000
0.5000 0.5000 0.0000
0.5000 0.0000 0.7314
0.0000 0.5000 0.2686
0.0000 0.0000 0.0000
0.5000 0.5000 0.5000
0.5000 0.0000 0.2781
0.0000 0.5000 0.7219
```

Properties
Electronic total energy: -26.81 eV for the cell shown
Crystal system: tetragonal

Entry 5:
First-principles (GGA-PBE) data for a relaxed structure of Tb3WI, as listed in the Open Quantum Materials Database.

POSCAR file:
```
Tb3WI
1.0
5.4746 0.0000 0.0000
0.0000 5.4746 0.0000
0.0000 0.0000 5.4746
I W Tb
1 1 3
Direct
0.0000 0.0000 0.0000
0.5000 0.5000 0.5000
0.5000 0.0000 0.0000
0.0000 0.5000 0.0000
0.0000 0.0000 0.5000
```

Properties
Electronic total energy: -22.59 eV for the cell shown
Crystal system: cubic

Entry 6:
First-principles (GGA-PBE) data for a relaxed structure of Dy3Zr3NiTe2, as listed in the Open Quantum Materials Database.

POSCAR file:
```
Dy3Zr3NiTe2
1.0
7.9794 0.0000 0.0000
-3.9897 6.9103 0.0000
0.0000 0.0000 3.9091
Dy Te Zr Ni
3 2 3 1
Direct
0.3986 0.3986 0.0000
0.0000 0.6014 0.0000
0.6014 0.0000 0.0000
0.3333 0.6667 0.5000
0.6667 0.3333 0.5000
0.7713 0.7713 0.5000
0.2287 0.0000 0.5000
0.0000 0.2287 0.5000
0.0000 0.0000 0.0000
```

Properties
Electronic total energy: -57.26 eV for the cell shown
Crystal system: hexagonal

Entry 7:
First-principles (GGA-PBE) data for a relaxed structure of Zr4Be3, as listed in the Open Quantum Materials Database.

POSCAR file:
```
Zr4Be3
1.0
5.3746 6.2060 0.0000
-2.6873 7.7576 0.0000
0.0000 0.0000 4.1313
Be Zr
6 8
Direct
0.1655 0.2467 0.0000
0.3020 0.5941 0.0000
0.8181 0.7306 0.0000
0.2217 0.7868 0.5000
0.7057 0.6503 0.5000
0.3583 0.1342 0.5000
0.0952 0.5238 0.5000
0.7797 0.4338 0.0000
0.5009 0.2082 0.0000
0.7441 0.9472 0.5000
0.5186 0.4515 0.5000
0.0229 0.1727 0.5000
0.0052 0.9294 0.0000
0.4286 0.8571 0.0000
```

Properties
Electronic total energy: -90.33 eV for the cell shown
Crystal system: hexagonal

Entry 8:
First-principles (GGA-PBE) data for a relaxed structure of CuAg3, as listed in the Open Quantum Materials Database.

POSCAR file:
```
CuAg3
1.0
5.7476 0.0000 0.0000
0.0000 4.0379 0.0000
-2.8196 0.0000 5.7084
Ag Cu
6 2
Direct
0.6921 0.7500 0.1184
0.0607 0.2500 0.3600
0.4405 0.7500 0.6245
0.9393 0.7500 0.6400
0.5595 0.2500 0.3755
0.3079 0.2500 0.8816
0.1799 0.7500 0.1198
0.8201 0.2500 0.8802
```

Properties
Electronic total energy: -23.84 eV for the cell shown
Crystal system: monoclinic
ΔH_f (0 K): 67 meV/atom

Entry 9:
First-principles (GGA-PBE) data for a relaxed structure of K3RbAg2As2, as listed in the Open Quantum Materials Database.

POSCAR file:
```
K3RbAg2As2
1.0
6.4569 0.0000 0.0000
0.0000 6.1590 0.0000
-1.5632 0.0000 6.3392
K Ag As Rb
3 2 2 1
Direct
0.9722 0.5000 0.3167
0.6826 0.0000 0.0260
0.3187 0.5000 0.9763
0.4980 0.2507 0.4998
0.4980 0.7493 0.4998
0.2481 0.0000 0.2380
0.7523 0.5000 0.7590
0.0301 0.0000 0.6844
```

Properties
Electronic total energy: -22.37 eV for the cell shown
Crystal system: monoclinic

Entry 10:
First-principles (GGA-PBE) data for a relaxed structure of LiNbO2, as listed in the Open Quantum Materials Database.

POSCAR file:
```
LiNbO2
1.0
-2.4577 0.0987 -1.5235
2.5379 -0.2636 -1.3639
-0.7831 -10.5420 0.5806
O Nb Li
4 2 2
Direct
0.6667 0.3333 0.1296
0.3333 0.6667 0.6296
0.6667 0.3333 0.3704
0.3333 0.6667 0.8704
0.0000 0.0000 0.5000
0.0000 0.0000 0.0000
0.6667 0.3333 0.7500
0.3333 0.6667 0.2500
```

Properties
Electronic total energy: -60.56 eV for the cell shown
Crystal system: hexagonal

Entry 11:
First-principles (GGA-PBE) data for a relaxed structure of Nd7Ni3, as listed in the Open Quantum Materials Database.

POSCAR file:
```
Nd7Ni3
1.0
9.9081 0.0000 0.0000
-4.9540 8.5806 0.0000
0.0000 0.0000 6.3535
Nd Ni
14 6
Direct
0.1260 0.8740 0.2514
0.5386 0.0773 0.0615
0.4614 0.9227 0.5615
0.0773 0.5386 0.5615
0.8740 0.1260 0.7514
0.9227 0.4614 0.0615
0.6667 0.3333 0.5417
0.8740 0.7480 0.7514
0.5386 0.4614 0.0615
0.3333 0.6667 0.0417
0.2520 0.1260 0.7514
0.7480 0.8740 0.2514
0.1260 0.2520 0.2514
0.4614 0.5386 0.5615
0.1886 0.8114 0.8089
0.3773 0.1886 0.3088
0.6227 0.8114 0.8089
0.8114 0.1886 0.3088
0.8114 0.6228 0.3088
0.1886 0.3772 0.8088
```

Properties
Electronic total energy: -104.15 eV for the cell shown
Crystal system: hexagonal
ΔH_f (0 K): -203 meV/atom

Entry 12:
First-principles (GGA-PBE) data for a relaxed structure of Ga2NiAu, as listed in the Open Quantum Materials Database.

POSCAR file:
```
Ga2NiAu
1.0
-1.1977 -2.9417 -3.1132
-0.2905 -4.3200 1.0169
-3.9812 -1.9707 0.2169
Ga Ni Au
2 1 1
Direct
0.7500 0.7500 0.7500
0.5000 0.5000 0.5000
0.0000 0.0000 0.0000
0.2500 0.2500 0.2500
```

Properties
Electronic total energy: -15.01 eV for the cell shown
Crystal system: cubic

Entry 13:
First-principles (GGA-PBE) data for a relaxed structure of LiCdAg2, as listed in the Open Quantum Materials Database.

POSCAR file:
```
LiCdAg2
1.0
0.5267 -1.6808 4.2932
-1.4030 2.4909 3.6553
-3.7131 -1.3449 2.4370
Ag Li Cd
2 1 1
Direct
0.0000 0.0000 0.0000
0.7500 0.7500 0.7500
0.5000 0.5000 0.5000
0.2500 0.2500 0.2500
```

Properties
Electronic total energy: -9.17 eV for the cell shown
Crystal system: cubic

Entry 14:
First-principles (GGA-PBE) data for a relaxed structure of GdYAl6, as listed in the Open Quantum Materials Database.

POSCAR file:
```
GdYAl6
1.0
6.3121 0.0000 0.0000
-3.1561 5.4664 0.0000
0.0000 0.0000 4.6040
Al Gd Y
6 1 1
Direct
0.4799 0.5201 0.5000
0.0402 0.5201 0.5000
0.6251 0.8125 0.0000
0.1875 0.3749 0.0000
0.4799 0.9598 0.5000
0.1875 0.8125 0.0000
0.0000 0.0000 0.5000
0.6667 0.3333 0.0000
```

Properties
Electronic total energy: -37.12 eV for the cell shown
Crystal system: hexagonal

Entry 15:
First-principles (GGA-PBE) data for a relaxed structure of DyUNi, as listed in the Open Quantum Materials Database.

POSCAR file:
```
DyUNi
1.0
0.0000 3.2844 3.2844
3.2844 0.0000 3.2844
3.2844 3.2844 0.0000
Ni Dy U
1 1 1
Direct
0.0000 0.0000 0.0000
0.7500 0.7500 0.7500
0.2500 0.2500 0.2500
```

Properties
Electronic total energy: -20.35 eV for the cell shown
Crystal system: cubic
ΔH_f (0 K): 373 meV/atom

Entry 16:
First-principles (GGA-PBE) data for a relaxed structure of La3PdPt2Pb3, as listed in the Open Quantum Materials Database.

POSCAR file:
```
La3PdPt2Pb3
1.0
4.1975 0.0000 0.0000
0.0000 6.8529 3.9550
0.0000 -6.8529 3.9550
Pt Pb La Pd
2 3 3 1
Direct
0.5000 0.6668 0.3332
0.5000 0.3332 0.6668
0.5000 0.2516 0.2516
0.5000 0.7482 0.0004
0.5000 0.0004 0.7482
0.0000 0.4136 0.0000
0.0000 0.5870 0.5870
0.0000 0.0000 0.4136
0.0000 0.9992 0.9992
```

Properties
Electronic total energy: -51.07 eV for the cell shown
Crystal system: orthorhombic

Entry 17:
First-principles (GGA-PBE) data for a relaxed structure of Be2Nb2Au, as listed in the Open Quantum Materials Database.

POSCAR file:
```
Be2Nb2Au
1.0
6.1121 0.0000 0.0000
0.0000 6.1121 0.0000
0.0000 0.0000 3.7285
Nb Be Au
4 4 2
Direct
0.3355 0.1645 0.5000
0.1645 0.6645 0.5000
0.6645 0.8355 0.5000
0.8355 0.3355 0.5000
0.1270 0.3730 0.0000
0.6270 0.1270 0.0000
0.8730 0.6270 0.0000
0.3730 0.8730 0.0000
0.5000 0.5000 0.0000
0.0000 0.0000 0.0000
```

Properties
Electronic total energy: -64.33 eV for the cell shown
Crystal system: tetragonal

Entry 18:
First-principles (GGA-PBE) data for a relaxed structure of Fe4SbAsC2, as listed in the Open Quantum Materials Database.

POSCAR file:
```
Fe4SbAsC2
1.0
3.0358 0.0000 0.0000
-1.5179 2.6291 0.0000
0.0000 0.0000 11.8312
Sb C Fe As
1 2 4 1
Direct
0.6667 0.3333 0.5000
0.3333 0.6667 0.2374
0.3333 0.6667 0.7626
0.0000 0.0000 0.6926
0.0000 0.0000 0.3074
0.6667 0.3333 0.1561
0.6667 0.3333 0.8439
0.0000 0.0000 0.0000
```

Properties
Electronic total energy: -58.79 eV for the cell shown
Crystal system: hexagonal

Entry 19:
First-principles (GGA-PBE) data for a relaxed structure of HoZn8Ni4, as listed in the Open Quantum Materials Database.

POSCAR file:
```
HoZn8Ni4
1.0
-4.2648 4.2648 2.5226
4.2648 -4.2648 2.5226
4.2648 4.2648 -2.5226
Ni Zn Ho
4 8 1
Direct
0.5000 0.5000 0.5000
0.0000 0.5000 0.0000
0.0000 0.0000 0.5000
0.5000 0.0000 0.0000
0.2779 0.5000 0.7779
0.0000 0.6586 0.6586
0.6586 0.0000 0.6586
0.7221 0.5000 0.2221
0.5000 0.7221 0.2221
0.0000 0.3414 0.3414
0.3414 0.0000 0.3414
0.5000 0.2779 0.7779
0.0000 0.0000 0.0000
```

Properties
Electronic total energy: -40.97 eV for the cell shown
Crystal system: tetragonal
ΔH_f (0 K): -308 meV/atom

Entry 20:
First-principles (GGA-PBE) data for a relaxed structure of Mg17Ga11Pd, as listed in the Open Quantum Materials Database.

POSCAR file:
```
Mg17Ga11Pd
1.0
5.2221 -7.3219 0.0000
5.2221 7.3219 0.0000
-5.1438 0.0000 7.3502
Ga Mg Pd
11 17 1
Direct
0.6301 0.8115 0.0018
0.8200 0.1884 0.1880
0.8183 0.0037 0.6323
0.1884 0.8200 0.1880
0.9980 0.6291 0.8078
0.0037 0.8183 0.6323
0.3710 0.1828 0.3686
0.6291 0.9980 0.8078
0.1828 0.3710 0.3686
0.8115 0.6301 0.0018
0.3694 0.3694 0.1735
0.3889 0.3889 0.7117
0.6028 0.9994 0.3145
0.6547 0.6547 0.6585
0.7141 0.3975 0.3978
0.5955 0.3161 0.9983
0.3147 0.0041 0.6111
0.0017 0.0017 0.9953
0.0030 0.3383 0.9951
0.6852 0.6852 0.2939
0.3383 0.0030 0.9951
0.0041 0.3147 0.6111
0.6833 0.2882 0.6843
0.3975 0.7141 0.3978
0.3161 0.5955 0.9983
0.0018 0.0018 0.3480
0.9994 0.6028 0.3145
0.2882 0.6833 0.6843
0.1884 0.1884 0.8200
```

Properties
Electronic total energy: -69.56 eV for the cell shown
Crystal system: monoclinic

Entry 21:
First-principles (GGA-PBE) data for a relaxed structure of LiPrCd2Au4, as listed in the Open Quantum Materials Database.

POSCAR file:
```
LiPrCd2Au4
1.0
-2.0359 4.3239 -1.1710
-4.2707 -1.4851 1.9411
1.8803 2.5299 6.0725
Cd Li Au Pr
2 1 4 1
Direct
0.5000 0.5000 0.0000
0.0000 0.0000 0.5000
0.0000 0.0000 0.0000
0.0000 0.5000 0.2216
0.5000 0.0000 0.2216
0.5000 0.0000 0.7784
0.0000 0.5000 0.7784
0.5000 0.5000 0.5000
```

Properties
Electronic total energy: -25.45 eV for the cell shown
Crystal system: tetragonal

Entry 22:
First-principles (GGA-PBE) data for a relaxed structure of LiCu3Se2, as listed in the Open Quantum Materials Database.

POSCAR file:
```
LiCu3Se2
1.0
7.5070 -1.9464 0.0000
7.5070 1.9464 0.0000
-4.5050 0.0000 6.9093
Cu Se Li
6 4 2
Direct
0.3197 0.3197 0.0727
0.9492 0.9492 0.3007
0.6009 0.6009 0.5536
0.3991 0.3991 0.4464
0.0508 0.0508 0.6993
0.6803 0.6803 0.9273
0.5142 0.5142 0.2104
0.2226 0.2226 0.7249
0.7774 0.7774 0.2751
0.4858 0.4858 0.7896
0.1315 0.1315 0.1854
0.8685 0.8685 0.8146
```

Properties
Electronic total energy: -44.38 eV for the cell shown
Crystal system: monoclinic

Entry 23:
First-principles (GGA-PBE) data for a relaxed structure of Gd3Tl2Pb5, as listed in the Open Quantum Materials Database.

POSCAR file:
```
Gd3Tl2Pb5
1.0
9.5757 8.6921 2.2947
-12.0371 -5.2393 -0.4121
0.6639 -1.8622 4.2833
Pb Gd Tl
5 3 2
Direct
0.5966 0.4034 0.0000
0.5000 0.5000 0.5000
0.2939 0.7061 0.5000
0.7061 0.2939 0.5000
0.4034 0.5966 0.0000
0.0000 0.0000 0.0000
0.8112 0.1888 0.0000
0.1888 0.8112 0.0000
0.0980 0.9020 0.5000
0.9020 0.0980 0.5000
```

Properties
Electronic total energy: -40.78 eV for the cell shown
Crystal system: orthorhombic

Entry 24:
First-principles (GGA-PBE) data for a relaxed structure of BaCdOs, as listed in the Open Quantum Materials Database.

POSCAR file:
```
BaCdOs
1.0
0.0000 3.4695 3.4695
3.4695 0.0000 3.4695
3.4695 3.4695 0.0000
Cd Os Ba
1 1 1
Direct
0.7500 0.7500 0.7500
0.0000 0.0000 0.0000
0.2500 0.2500 0.2500
```

Properties
Electronic total energy: -11.48 eV for the cell shown
Crystal system: cubic